Record 1
Here is an optimized crystal structure of HgTeI from Alexandria via LeMat-Bulk. Energies are from PBE.

## Properties
**Electronic total energy**: -1.815 eV/atom

Geometry as CIF:
```
data_HgTeI
_cell_length_a 4.6613
_cell_length_b 6.4943
_cell_length_c 8.6060
_cell_angle_alpha 106.81
_cell_angle_beta 93.44
_cell_angle_gamma 91.27
_space_group_name_H-M_alt 'P 1'
_space_group_IT_number 1
loop_
_space_group_symop_operation_xyz
'x,y,z'
loop_
_atom_site_label
_atom_site_type_symbol
_atom_site_fract_x
_atom_site_fract_y
_atom_site_fract_z
I1 I 0.7206 0.8977 0.5275
Te1 Te 0.3813 0.4299 0.3001
Hg1 Hg 0.4435 0.0623 0.8073
Te2 Te 0.0938 0.0877 0.0588
Hg2 Hg 0.2488 0.7054 0.1235
I2 I 0.7099 0.5209 0.8601
```

Record 2
Here is an optimized crystal structure of FeGeTe2Au from Alexandria via LeMat-Bulk. Energies are from PBE.

## Properties
**Electronic total energy**: -3.928 eV/atom
**DOS at the Fermi energy**: 7.704 states/eV per cell

Geometry as CIF:
```
data_FeGeTe2Au
_cell_length_a 5.0956
_cell_length_b 4.8563
_cell_length_c 5.0956
_cell_angle_alpha 90.00
_cell_angle_beta 90.00
_cell_angle_gamma 90.00
_space_group_name_H-M_alt 'P 1'
_space_group_IT_number 1
loop_
_space_group_symop_operation_xyz
'x,y,z'
loop_
_atom_site_label
_atom_site_type_symbol
_atom_site_fract_x
_atom_site_fract_y
_atom_site_fract_z
Au1 Au 0.0000 0.5000 0.0000
Te1 Te 0.5000 0.0000 0.0000
Te2 Te 0.0000 0.0000 0.5000
Fe1 Fe 0.0000 0.0000 0.0000
Ge1 Ge 0.5000 0.5000 0.5000
```

Record 3
Here is an optimized crystal structure of MgZnSe4 from Alexandria via LeMat-Bulk. Energies are from PBE.

## Properties
**Electronic total energy**: -3.079 eV/atom
**DOS at the Fermi energy**: 2.933 states/eV per cell

Geometry as CIF:
```
data_MgZnSe4
_cell_length_a 3.5657
_cell_length_b 13.4416
_cell_length_c 7.2348
_cell_angle_alpha 90.00
_cell_angle_beta 90.00
_cell_angle_gamma 90.00
_space_group_name_H-M_alt 'P 1'
_space_group_IT_number 1
loop_
_space_group_symop_operation_xyz
'x,y,z'
loop_
_atom_site_label
_atom_site_type_symbol
_atom_site_fract_x
_atom_site_fract_y
_atom_site_fract_z
Mg1 Mg 0.0000 0.7497 0.2500
Mg2 Mg 0.0000 0.2503 0.7500
Zn1 Zn 0.0000 0.7071 0.7500
Se1 Se 0.5000 0.6881 0.5070
Se2 Se 0.0000 0.0000 0.5000
Se3 Se 0.5000 0.6881 0.9930
Zn2 Zn 0.0000 0.2929 0.2500
Se4 Se 0.5000 0.0630 0.7500
Se5 Se 0.5000 0.9370 0.2500
Se6 Se 0.5000 0.3119 0.0070
Se7 Se 0.0000 0.0000 0.0000
Se8 Se 0.5000 0.3119 0.4930
```

Record 4
Here is an optimized crystal structure of MnBe2B from Alexandria via LeMat-Bulk. Energies are from PBE.

## Properties
**Electronic total energy**: -5.268 eV/atom
**DOS at the Fermi energy**: 1.968 states/eV per cell

Geometry as CIF:
```
data_MnBe2B
_cell_length_a 2.3335
_cell_length_b 2.3335
_cell_length_c 7.5752
_cell_angle_alpha 81.14
_cell_angle_beta 81.14
_cell_angle_gamma 60.00
_space_group_name_H-M_alt 'P 1'
_space_group_IT_number 1
loop_
_space_group_symop_operation_xyz
'x,y,z'
loop_
_atom_site_label
_atom_site_type_symbol
_atom_site_fract_x
_atom_site_fract_y
_atom_site_fract_z
B1 B 0.5000 0.5000 0.5000
Be1 Be 0.0984 0.0984 0.7048
Mn1 Mn 0.0000 0.0000 0.0000
Be2 Be 0.9016 0.9016 0.2952
```

Record 5
Here is an optimized crystal structure of La2TbEr2 from Alexandria via LeMat-Bulk. Energies are from PBE.

## Properties
**Electronic total energy**: -4.644 eV/atom
**DOS at the Fermi energy**: 9.142 states/eV per cell

Geometry as CIF:
```
data_La2TbEr2
_cell_length_a 3.5249
_cell_length_b 5.4231
_cell_length_c 9.1469
_cell_angle_alpha 107.24
_cell_angle_beta 90.00
_cell_angle_gamma 90.00
_space_group_name_H-M_alt 'P 1'
_space_group_IT_number 1
loop_
_space_group_symop_operation_xyz
'x,y,z'
loop_
_atom_site_label
_atom_site_type_symbol
_atom_site_fract_x
_atom_site_fract_y
_atom_site_fract_z
Er1 Er 0.5000 0.5999 0.1988
Tb1 Tb 0.0000 0.0000 0.0000
Er2 Er 0.5000 0.4001 0.8012
La1 La 0.0000 0.1994 0.3980
La2 La 0.0000 0.8006 0.6020
```

Record 6
Here is an optimized crystal structure of Tb2HoIn from Alexandria via LeMat-Bulk. Energies are from PBE.

## Properties
**Electronic total energy**: -4.277 eV/atom
**DOS at the Fermi energy**: 6.383 states/eV per cell

Geometry as CIF:
```
data_Tb2HoIn
_cell_length_a 5.4528
_cell_length_b 5.4528
_cell_length_c 5.4528
_cell_angle_alpha 60.00
_cell_angle_beta 60.00
_cell_angle_gamma 60.00
_space_group_name_H-M_alt 'P 1'
_space_group_IT_number 1
loop_
_space_group_symop_operation_xyz
'x,y,z'
loop_
_atom_site_label
_atom_site_type_symbol
_atom_site_fract_x
_atom_site_fract_y
_atom_site_fract_z
Tb1 Tb 0.2500 0.2500 0.2500
Ho1 Ho 0.0000 0.0000 0.0000
In1 In 0.5000 0.5000 0.5000
Tb2 Tb 0.7500 0.7500 0.7500
```